# GGA-PBE PuZrTl2O6, optimized geometry
data_PuZrTl2O6
_chemical_formula_sum 'Pu4 Zr4 Tl8 O24'
_space_group_name_H-M_alt 'F m -3 m'
_space_group_IT_number 225
_space_group_name_Hall '-F 4 2 3'
_cell_length_a 8.5036
_cell_length_b 8.5036
_cell_length_c 8.5036
_cell_angle_alpha 90.00
_cell_angle_beta 90.00
_cell_angle_gamma 90.00
loop_
_atom_site_label
_atom_site_fract_x
_atom_site_fract_y
_atom_site_fract_z
_atom_site_occupancy
Pu1 0.0000 0.0000 0.0000 1
Zr1 0.0000 0.0000 0.5000 1
Tl1 0.2500 0.2500 0.2500 1
O1 0.0000 0.0000 0.2473 1
# theoretical density	9.07	g/cm³
# ΔE_f (raw)	-2091	kJ/mol of formula units
# VASP energy	-7.904	eV per atom
# M_tot	8.00	μB/cell